Record 1
{"formula": "Er2Tm8Th", "functional": "GGA-PBE", "state": "optimized geometry", "ef_mev_per_atom": 122.0, "lattice": [[-2.672, 4.041, 7.918], [2.672, -4.041, 7.918], [2.672, 4.041, -7.918]], "species": ["Er", "Er", "Tm", "Tm", "Tm", "Tm", "Tm", "Tm", "Tm", "Tm", "Th"], "fractional_positions": [[0.200, 0.200, 0.000], [0.800, 0.800, 0.000], [0.064, 0.356, 0.708], [0.207, 0.000, 0.207], [0.341, 0.841, 0.500], [0.352, 0.644, 0.708], [0.648, 0.356, 0.292], [0.659, 0.159, 0.500], [0.793, 0.000, 0.793], [0.936, 0.644, 0.292], [0.500, 0.500, 0.000]]}



Record 2
{"formula": "Er5Tm4Th", "functional": "GGA-PBE", "state": "optimized geometry", "ef_mev_per_atom": 339.2, "lattice": [[-5.029, 5.029, 3.154], [5.029, -5.029, 3.154], [5.029, 5.029, -3.154]], "species": ["Er", "Er", "Er", "Er", "Er", "Tm", "Tm", "Tm", "Tm", "Th"], "fractional_positions": [[0.000, 0.000, 0.000], [0.506, 0.600, 0.622], [0.600, 0.978, 0.094], [0.884, 0.506, 0.906], [0.978, 0.884, 0.378], [0.190, 0.590, 0.295], [0.295, 0.895, 0.705], [0.590, 0.295, 0.400], [0.895, 0.190, 0.600], [0.467, 0.467, 0.000]]}



Record 3
{"formula": "Er3Tm2Th2", "functional": "GGA-PBE", "state": "optimized geometry", "ef_mev_per_atom": 137.0, "lattice": [[8.629, -1.712, 0.000], [8.629, 1.712, 0.000], [-4.131, 0.000, 7.435]], "species": ["Er", "Er", "Er", "Tm", "Tm", "Th", "Th"], "fractional_positions": [[0.000, 0.000, 0.000], [0.215, 0.215, 0.130], [0.785, 0.785, 0.870], [0.436, 0.436, 0.278], [0.564, 0.564, 0.722], [0.150, 0.150, 0.458], [0.850, 0.850, 0.542]]}



Record 4
{"formula": "Er3Tm6Th", "functional": "GGA-PBE", "state": "optimized geometry", "ef_mev_per_atom": 314.1, "lattice": [[4.835, 2.791, 3.899], [-4.835, 2.791, 3.899], [0.000, -5.582, 3.899]], "species": ["Er", "Er", "Er", "Tm", "Tm", "Tm", "Tm", "Tm", "Tm", "Th"], "fractional_positions": [[0.000, 0.000, 0.000], [0.242, 0.242, 0.242], [0.758, 0.758, 0.758], [0.000, 0.663, 0.337], [0.164, 0.500, 0.836], [0.337, 0.000, 0.663], [0.500, 0.836, 0.164], [0.663, 0.337, 0.000], [0.836, 0.164, 0.500], [0.500, 0.500, 0.500]]}



Record 5
{"formula": "ErTm6Th3", "functional": "GGA-PBE", "state": "optimized geometry", "ef_mev_per_atom": 79.6, "lattice": [[13.020, 0.000, 0.000], [0.000, 3.488, 0.000], [-4.598, 0.000, 13.737]], "species": ["Er", "Er", "Tm", "Tm", "Tm", "Tm", "Tm", "Tm", "Tm", "Tm", "Tm", "Tm", "Tm", "Tm", "Th", "Th", "Th", "Th", "Th", "Th"], "fractional_positions": [[0.080, 0.250, 0.196], [0.920, 0.750, 0.804], [0.141, 0.750, 0.014], [0.155, 0.250, 0.809], [0.215, 0.250, 0.601], [0.258, 0.750, 0.402], [0.339, 0.250, 0.224], [0.392, 0.750, 0.790], [0.608, 0.250, 0.210], [0.661, 0.750, 0.776], [0.742, 0.250, 0.598], [0.785, 0.750, 0.399], [0.845, 0.750, 0.191], [0.859, 0.250, 0.986], [0.005, 0.250, 0.395], [0.385, 0.250, 0.005], [0.465, 0.250, 0.590], [0.535, 0.750, 0.410], [0.615, 0.750, 0.995], [0.995, 0.750, 0.605]]}



Record 6
{"formula": "Er5TmTh2", "functional": "GGA-PBE", "state": "optimized geometry", "ef_mev_per_atom": 138.8, "lattice": [[-4.348, 4.348, 6.640], [4.348, -4.348, 6.640], [4.348, 4.348, -6.640]], "species": ["Er", "Er", "Er", "Er", "Er", "Er", "Er", "Er", "Er", "Er", "Tm", "Tm", "Th", "Th", "Th", "Th"], "fractional_positions": [[0.000, 0.000, 0.000], [0.011, 0.511, 0.196], [0.185, 0.989, 0.500], [0.315, 0.815, 0.804], [0.489, 0.685, 0.500], [0.500, 0.500, 0.000], [0.511, 0.315, 0.500], [0.685, 0.185, 0.196], [0.815, 0.011, 0.500], [0.989, 0.489, 0.804], [0.250, 0.250, 0.000], [0.750, 0.750, 0.000], [0.142, 0.358, 0.500], [0.358, 0.858, 0.217], [0.642, 0.142, 0.783], [0.858, 0.642, 0.500]]}



Record 7
{"formula": "Er4Tm6Th", "functional": "GGA-PBE", "state": "optimized geometry", "ef_mev_per_atom": 488.2, "lattice": [[-3.783, 3.783, 6.413], [3.783, -3.783, 6.413], [3.783, 3.783, -6.413]], "species": ["Er", "Er", "Er", "Er", "Tm", "Tm", "Tm", "Tm", "Tm", "Tm", "Th"], "fractional_positions": [[0.255, 0.255, 0.660], [0.405, 0.745, 0.000], [0.595, 0.595, 0.340], [0.745, 0.405, 0.000], [0.000, 0.500, 0.500], [0.065, 0.570, 0.000], [0.430, 0.430, 0.495], [0.500, 0.000, 0.500], [0.570, 0.065, 0.000], [0.935, 0.935, 0.505], [0.000, 0.000, 0.000]]}



Record 8
{"formula": "Er8Tm2Th3", "functional": "GGA-PBE", "state": "optimized geometry", "ef_mev_per_atom": 212.4, "lattice": [[13.567, -4.401, 0.000], [13.567, 4.401, 0.000], [-0.004, 0.000, 3.554]], "species": ["Er", "Er", "Er", "Er", "Er", "Er", "Er", "Er", "Tm", "Tm", "Th", "Th", "Th"], "fractional_positions": [[0.002, 0.622, 0.001], [0.097, 0.097, 0.499], [0.278, 0.278, 0.500], [0.378, 0.998, 0.999], [0.622, 0.002, 0.001], [0.722, 0.722, 0.500], [0.903, 0.903, 0.501], [0.998, 0.378, 0.999], [0.394, 0.394, 0.998], [0.606, 0.606, 0.002], [0.186, 0.814, 0.000], [0.500, 0.500, 0.500], [0.814, 0.186, 0.000]]}



Record 9
{"formula": "ErTm3Th", "functional": "GGA-PBE", "state": "optimized geometry", "ef_mev_per_atom": 405.3, "lattice": [[2.635, -5.984, 0.000], [2.635, 5.984, 0.000], [-0.073, 0.000, 10.739]], "species": ["Er", "Er", "Tm", "Tm", "Tm", "Tm", "Tm", "Tm", "Th", "Th"], "fractional_positions": [[0.164, 0.836, 0.000], [0.836, 0.164, 0.000], [0.005, 0.005, 0.766], [0.334, 0.660, 0.270], [0.340, 0.666, 0.730], [0.660, 0.334, 0.270], [0.666, 0.340, 0.730], [0.995, 0.995, 0.234], [0.142, 0.858, 0.500], [0.858, 0.142, 0.500]]}



Record 10
{"formula": "ErTm5Th2", "functional": "GGA-PBE", "state": "optimized geometry", "ef_mev_per_atom": 98.2, "lattice": [[-1.742, 5.517, 6.529], [1.742, -5.517, 6.529], [1.742, 5.517, -6.529]], "species": ["Er", "Tm", "Tm", "Tm", "Tm", "Tm", "Th", "Th"], "fractional_positions": [[0.000, 0.000, 0.000], [0.136, 0.370, 0.767], [0.397, 0.630, 0.767], [0.500, 0.000, 0.500], [0.603, 0.370, 0.233], [0.864, 0.630, 0.233], [0.242, 0.742, 0.500], [0.758, 0.258, 0.500]]}